(1)
Material: PuHf2In
Method: DFT, PBE
State: relaxed

Structure (POSCAR):
```
PuHf2In
1.0
4.6169 0.0000 0.0000
0.0000 4.6169 0.0000
0.0000 0.0000 4.2550
Pu Hf In
1 2 1
direct
0.0000 0.0000 0.0000
0.0000 0.5000 0.5000
0.5000 0.0000 0.5000
0.5000 0.5000 0.0000
```

Results
ΔH_f (0 K) (meV/atom): -37

(2)
Material: PuHfZrIn
Method: DFT, PBE
State: relaxed

Structure (POSCAR):
```
PuHfZrIn
1.0
0.0000 3.5705 3.5705
3.5705 0.0000 3.5705
3.5705 3.5705 0.0000
Pu Hf Zr In
1 1 1 1
direct
0.0000 0.0000 0.0000
0.2500 0.2500 0.2500
0.7500 0.7500 0.7500
0.5000 0.5000 0.5000
```

Results
ΔH_f (0 K) (meV/atom): 36

(3)
Material: Rb2Hf2In
Method: DFT, PBE
State: relaxed

Structure (POSCAR):
```
Rb2Hf2In
1.0
-1.9748 1.9748 12.9646
1.9748 -1.9748 12.9646
1.9748 1.9748 -12.9646
Rb Hf In
2 2 1
direct
0.1106 0.1106 0.0000
0.8894 0.8894 0.0000
0.2500 0.7500 0.5000
0.7500 0.2500 0.5000
0.5000 0.5000 0.0000
```

Results
ΔH_f (0 K) (meV/atom): 749

(4)
Material: RbHf2In2
Method: DFT, PBE
State: relaxed

Structure (POSCAR):
```
RbHf2In2
1.0
9.2434 0.0000 0.0000
0.0000 9.2434 0.0000
0.0000 0.0000 3.1036
Rb Hf In
2 4 4
direct
0.0000 0.0000 0.0000
0.5000 0.5000 0.0000
0.1193 0.3807 0.0000
0.3807 0.8807 0.0000
0.6193 0.1193 0.0000
0.8807 0.6193 0.0000
0.1720 0.6720 0.5000
0.3280 0.1720 0.5000
0.6720 0.8280 0.5000
0.8280 0.3280 0.5000
```

Results
ΔH_f (0 K) (meV/atom): 175

(5)
Material: Rb2Hf2In
Method: DFT, PBE
State: relaxed

Structure (POSCAR):
```
Rb2Hf2In
1.0
11.1322 0.0000 0.0000
0.0000 11.1322 0.0000
0.0000 0.0000 3.0529
Rb Hf In
4 4 2
direct
0.1175 0.3825 0.0000
0.3825 0.8825 0.0000
0.6175 0.1175 0.0000
0.8825 0.6175 0.0000
0.1836 0.6836 0.5000
0.3164 0.1836 0.5000
0.6836 0.8164 0.5000
0.8164 0.3164 0.5000
0.0000 0.0000 0.0000
0.5000 0.5000 0.0000
```

Results
ΔH_f (0 K) (meV/atom): 1550

(6)
Material: RbHfIn2
Method: DFT, PBE
State: relaxed

Structure (POSCAR):
```
RbHfIn2
1.0
-2.9806 2.9806 9.7731
2.9806 -2.9806 9.7731
2.9806 2.9806 -9.7731
Rb Hf In
2 2 4
direct
0.0000 0.0000 0.0000
0.7500 0.2500 0.5000
0.2500 0.7500 0.5000
0.5000 0.5000 0.0000
0.2940 0.6250 0.1690
0.3750 0.5440 0.6690
0.4560 0.1250 0.8310
0.8750 0.7060 0.3310
```

Results
ΔH_f (0 K) (meV/atom): 657

(7)
Material: RbHfIn3
Method: DFT, PBE
State: relaxed

Structure (POSCAR):
```
RbHfIn3
1.0
5.7553 0.0000 0.0000
0.0000 5.7553 0.0000
0.0000 0.0000 5.7553
Rb Hf In
1 1 3
direct
0.0000 0.0000 0.0000
0.5000 0.5000 0.5000
0.0000 0.0000 0.5000
0.0000 0.5000 0.0000
0.5000 0.0000 0.0000
```

Results
ΔH_f (0 K) (meV/atom): 1609

(8)
Material: RbHf2In
Method: DFT, PBE
State: relaxed

Structure (POSCAR):
```
RbHf2In
1.0
-2.2739 2.2739 11.1342
2.2739 -2.2739 11.1342
2.2739 2.2739 -11.1342
Rb Hf In
2 4 2
direct
0.0000 0.0000 0.0000
0.7500 0.2500 0.5000
0.1595 0.6250 0.0345
0.3750 0.4095 0.5345
0.5905 0.1250 0.9655
0.8750 0.8405 0.4655
0.2500 0.7500 0.5000
0.5000 0.5000 0.0000
```

Results
ΔH_f (0 K) (meV/atom): 1050

(9)
Material: RbHfIn2
Method: DFT, PBE
State: relaxed

Structure (POSCAR):
```
RbHfIn2
1.0
0.0000 3.8565 3.8565
3.8565 0.0000 3.8565
3.8565 3.8565 0.0000
Rb Hf In
1 1 2
direct
0.0000 0.0000 0.0000
0.5000 0.5000 0.5000
0.2500 0.2500 0.2500
0.7500 0.7500 0.7500
```

Results
ΔH_f (0 K) (meV/atom): 509

(10)
Material: RbHfIn2Re
Method: DFT, PBE
State: relaxed

Structure (POSCAR):
```
RbHfIn2Re
1.0
5.2711 0.0000 0.0000
0.0000 5.2711 0.0000
0.0000 0.0000 5.4807
Rb Hf In Re
1 1 2 1
direct
0.0000 0.0000 0.0000
0.5000 0.5000 0.0000
0.0000 0.5000 0.5000
0.5000 0.0000 0.5000
0.0000 0.0000 0.5000
```

Results
ΔH_f (0 K) (meV/atom): 1601

(11)
Material: Rb2HfInS4
Method: DFT, PBE
State: relaxed

Structure (POSCAR):
```
Rb2HfInS4
1.0
0.0000 7.1969 11.6897
3.3955 0.0000 11.6897
3.3955 7.1969 0.0000
Rb Hf In S
4 2 2 8
direct
0.0570 0.0570 0.6930
0.3070 0.3070 0.9430
0.6930 0.6930 0.0570
0.9430 0.9430 0.3070
0.1250 0.1250 0.1250
0.8750 0.8750 0.8750
0.3750 0.3750 0.3750
0.6250 0.6250 0.6250
0.0555 0.3040 0.3849
0.2445 0.6151 0.6960
0.3040 0.0555 0.7555
0.3849 0.7555 0.0555
0.6151 0.2445 0.9445
0.6960 0.9445 0.2445
0.7555 0.3849 0.3040
0.9445 0.6960 0.6151
```

Results
E_form (uncorrected) (eV/atom): -1.10

(12)
Material: RbHfIn2Sb
Method: DFT, PBE
State: relaxed

Structure (POSCAR):
```
RbHfIn2Sb
1.0
5.8227 0.0000 0.0000
0.0000 5.8227 0.0000
0.0000 0.0000 5.8369
Rb Hf In Sb
1 1 2 1
direct
0.0000 0.0000 0.0000
0.0000 0.0000 0.5000
0.0000 0.5000 0.0000
0.5000 0.0000 0.0000
0.5000 0.5000 0.5000
```

Results
E_form (uncorrected) (eV/atom): 1.71

| no. | calculated total energy (eV/atom) |
| --- | --- |
| 1 | -9.281 |
| 2 | -8.857 |
| 3 | -4.167 |
| 4 | -5.095 |
| 5 | -3.366 |
| 6 | -3.442 |
| 7 | -2.218 |
| 8 | -4.854 |
| 9 | -3.590 |
| 10 | -4.168 |
| 11 | -4.992 |
| 12 | -2.392 |